Arrangement A

Rb2BaGa2 PBE-GGA relaxed; space group = I4/mmm (139); calculated volume = 43.26 A^3/atom
1.0
-4.703 -1.492 -1.930
0.317 -4.531 2.728
-5.711 0.343 6.378
Ga Rb Ba
2 2 1
Cartesian
-2.746 -2.484 1.339
-7.351 -3.196 5.837
-3.793 -3.600 4.753
-6.304 -2.080 2.423
0.000 0.000 0.000

***

Arrangement B

Rb2BaGa2 PBE-GGA relaxed; space group = P4/mbm (127); calculated volume = 45.47 A^3/atom
1.0
8.528 0.000 0.000
0.000 8.528 0.000
0.000 0.000 6.253
Ga Ba Rb
4 2 4
Cartesian
0.866 3.398 0.000
7.662 5.130 0.000
5.130 0.866 0.000
3.398 7.662 0.000
0.000 0.000 0.000
4.264 4.264 0.000
7.046 2.783 3.126
5.745 7.046 3.126
2.783 1.481 3.126
1.481 5.745 3.126

***

What is the stability order? It is arrangement B, arrangement A, from most stable to least stable.

***

Arrangement A

RbBaGa3 PBE-GGA relaxed; space group = Pm-3m (221); calculated volume = 40.96 A^3/atom
1.0
-0.505 -3.720 -4.544
4.567 -3.116 2.043
-3.692 -3.346 3.149
Ga Ba Rb
3 1 1
Cartesian
2.284 -1.558 1.022
-0.253 -1.860 -2.272
-1.846 -1.673 1.575
0.185 -5.091 0.324
0.000 0.000 0.000

***

Arrangement B

RbBaGa3 PBE-GGA relaxed; space group = Pm-3m (221); calculated volume = 47.39 A^3/atom
1.0
-2.369 1.571 5.497
1.644 -5.512 2.283
5.475 2.334 1.693
Ba Ga Rb
1 3 1
Cartesian
0.000 0.000 0.000
0.822 -2.756 1.142
-1.184 0.785 2.748
2.738 1.167 0.846
2.375 -0.803 4.736

***

What is the stability order? It is arrangement B, arrangement A, from most stable to least stable.